{
  "formula": "CaTm2Th",
  "functional": "PBE",
  "state": "relaxed",
  "m_tot_mub_per_fu": 0.00,
  "delta_e_f_mev_per_atom": 49,
  "space_group": "P4/mmm, No. 123",
  "e_above_lowest_polymorph_mev_per_atom": 0,
  "cell": [[-0.158, -3.546, -0.684], [1.852, -0.668, 3.031], [-8.724, -0.613, 5.197]],
  "species": ["Tm", "Th", "Ca", "Tm"],
  "fractional_positions": [[0.000, 0.000, 0.226], [0.500, 0.500, 0.000], [0.500, 0.500, 0.500], [0.000, 0.000, 0.774]]
}